! Pm2NiTe | Alexandria via LeMat-Bulk | PBE-GGA | relaxed; values from VASP
! **Uncorrected formation energy**: -0.810 eV per atom
! **SG**: No. 63
&SYSTEM
  ibrav = 0, nat = 8, ntyp = 3
/
ATOMIC_SPECIES
Pm 145.00 Pm.upf
Ni 58.69 Ni.upf
Te 127.60 Te.upf
CELL_PARAMETERS angstrom
2.081 -11.445 0.000
2.081 11.445 0.000
0.000 0.000 4.490
ATOMIC_POSITIONS angstrom
Pm 2.081 10.157 3.367
Pm 2.081 3.653 3.367
Pm 2.081 -3.653 1.122
Pm 2.081 -10.157 1.122
Ni 2.081 0.687 3.367
Ni 2.081 -0.687 1.122
Te 2.081 6.988 3.367
Te 2.081 -6.988 1.122